VASP calculation (PBE+U) on a geometry-optimized Co2CuMoO structure.

abc: 3.9770 3.9770 4.2073
angles: 90.00 90.00 90.00
Closest atoms and distances in Å follow each position.
Sites, in units of the cell vectors:
Co1 0.0000 0.5000 0.0000  2 O 1.99
Co2 0.5000 0.0000 0.0000  2 O 1.99
Cu1 0.0000 0.0000 0.5000  2 O 2.10
Mo1 0.5000 0.5000 0.5000  4 Cu 2.81, 8 Co 2.89
O1 0.0000 0.0000 0.0000  4 Co 1.99, 2 Cu 2.10

energy	-4.7069	eV/atom
total magnetic moment	8.0	Bohr magnetons per cell